VASP calculation (PBE) on a relaxed Na3GaBi2 crystal.

Properties
Formation enthalpy at 0 K in eV per atom: -0.212
Total DFT energy (no corrections) in eV/cell: -32.04
Magnetic moment in μB/atom: 0.000
Space group: C2/m

Lattice parameters (Å, degrees): 4.960 9.072 11.670 49.93 77.73 74.14
Fractional positions:
Na 0.058 0.068 0.817
Na 0.942 0.932 0.183
Na 0.687 0.709 0.917
Na 0.313 0.291 0.083
Na 0.809 0.820 0.561
Na 0.191 0.180 0.439
Ga 0.435 0.437 0.692
Ga 0.565 0.563 0.308
Bi 0.875 0.390 0.859
Bi 0.125 0.610 0.141
Bi 0.604 0.189 0.603
Bi 0.396 0.811 0.397


VASP calculation (PBE) on a relaxed AlSn2IrRu crystal.

Properties
Formation enthalpy at 0 K in eV per atom: 0.649
Total DFT energy (no corrections) in eV/cell: -26.64
Magnetic moment in μB/atom: 0.000
Space group: P4/mmm

Lattice parameters (Å, degrees): 4.979 4.569 4.979 90.00 90.00 90.00
Fractional positions:
Ru 0.000 0.000 0.000
Ir 0.500 0.500 0.500
Sn 0.000 0.000 0.500
Sn 0.500 0.000 0.000
Al 0.000 0.500 0.000


VASP calculation (PBE) on a relaxed Li2NdTmS4 crystal.

Properties
Total DFT energy (no corrections) in eV/cell: -44.06
Magnetic moment in μB/atom: 0.000
Space group: P2/m
Raw formation energy in eV/atom: -1.8104

Lattice parameters (Å, degrees): 3.961 6.867 6.598 110.30 90.00 90.00
Fractional positions:
Li 0.500 0.000 0.500
Li 0.000 0.500 0.500
Nd 0.000 0.000 0.000
Tm 0.500 0.500 0.000
S 0.500 0.263 0.255
S 0.500 0.737 0.745
S 0.000 0.260 0.750
S 0.000 0.740 0.250


Q: Number 1 is which compound?
A: Na3GaBi2


Q: Which formula does entry 3 have?
A: Li2NdTmS4